[1]
{
  "formula": "Sr3CaSm2Te6",
  "functional": "PBE",
  "state": "optimized geometry",
  "m_tot_mub_per_fu": 0.000,
  "e_form_raw_ev_per_atom": -1.58,
  "spacegroup": "C2/m, No. 12",
  "lattice": [[3.962, -6.858, 0.000], [3.962, 6.858, 0.000], [-2.639, 0.000, 7.559]],
  "species": ["Sr", "Sr", "Sr", "Ca", "Sm", "Sm", "Te", "Te", "Te", "Te", "Te", "Te"],
  "fractional_positions": [[0.000, 0.000, 0.000], [0.333, 0.667, 0.000], [0.667, 0.333, 0.000], [0.500, 0.500, 0.500], [0.166, 0.834, 0.500], [0.834, 0.166, 0.500], [0.088, 0.421, 0.264], [0.245, 0.245, 0.736], [0.421, 0.088, 0.264], [0.579, 0.912, 0.736], [0.755, 0.755, 0.264], [0.912, 0.579, 0.736]]
}

[2]
{
  "formula": "Sr2CaSmTe4",
  "functional": "PBE",
  "state": "optimized geometry",
  "m_tot_mub_per_fu": 0.000,
  "e_form_raw_ev_per_atom": -1.61,
  "spacegroup": "P2/m, No. 10",
  "lattice": [[7.966, 0.000, 0.000], [0.000, 4.578, 0.000], [-2.640, 0.000, 7.558]],
  "species": ["Sr", "Sr", "Ca", "Sm", "Te", "Te", "Te", "Te"],
  "fractional_positions": [[0.000, 0.000, 0.000], [0.500, 0.500, 0.000], [0.000, 0.500, 0.500], [0.500, 0.000, 0.500], [0.246, 0.000, 0.736], [0.255, 0.500, 0.264], [0.745, 0.500, 0.736], [0.754, 0.000, 0.264]]
}

[3]
{
  "formula": "SrCa3Sm2Te6",
  "functional": "PBE",
  "state": "optimized geometry",
  "m_tot_mub_per_fu": 0.000,
  "e_form_raw_ev_per_atom": -1.55,
  "spacegroup": "C2/m, No. 12",
  "lattice": [[3.909, -6.766, 0.000], [3.909, 6.766, 0.000], [-2.604, 0.000, 7.401]],
  "species": ["Sr", "Ca", "Ca", "Ca", "Sm", "Sm", "Te", "Te", "Te", "Te", "Te", "Te"],
  "fractional_positions": [[0.000, 0.000, 0.000], [0.164, 0.836, 0.500], [0.500, 0.500, 0.500], [0.836, 0.164, 0.500], [0.333, 0.667, 0.000], [0.667, 0.333, 0.000], [0.085, 0.426, 0.254], [0.257, 0.257, 0.747], [0.426, 0.085, 0.254], [0.574, 0.915, 0.746], [0.743, 0.743, 0.253], [0.915, 0.574, 0.746]]
}

[4]
{
  "formula": "SrCaSmTl",
  "functional": "PBE",
  "state": "optimized geometry",
  "m_tot_mub_per_fu": 0.000,
  "formation_energy_ev_per_fu": -0.3,
  "spacegroup": "F-43m, No. 216",
  "lattice": [[0.000, 4.098, 4.098], [4.098, 0.000, 4.098], [4.098, 4.098, 0.000]],
  "species": ["Sr", "Ca", "Sm", "Tl"],
  "fractional_positions": [[0.000, 0.000, 0.000], [0.250, 0.250, 0.250], [0.500, 0.500, 0.500], [0.750, 0.750, 0.750]]
}